The following is a DFT calculation (PBE with a Hubbard U) of a relaxed structure of K2BaCo3F12.

Properties
**Total moment**: 6.991 μB per cell
**Final energy**: -4.798 eV/atom

a b c (Å): 7.139 7.139 7.139
angles (deg): 64.25 64.25 64.25
Atoms (fractional coordinates):
K 0.114 0.114 0.114
K 0.886 0.886 0.886
Ba 0.500 0.500 0.500
Co 0.000 0.500 0.500
Co 0.500 0.000 0.500
Co 0.500 0.500 0.000
F 0.055 0.635 0.635
F 0.230 0.230 0.608
F 0.230 0.608 0.230
F 0.365 0.365 0.945
F 0.365 0.945 0.365
F 0.392 0.770 0.770
F 0.608 0.230 0.230
F 0.635 0.055 0.635
F 0.635 0.635 0.055
F 0.770 0.392 0.770
F 0.770 0.770 0.392
F 0.945 0.365 0.365